This record from the Alexandria database describes AlRe2Ru after structural relaxation. The functional is GGA-PBE.

Output
- V: 14.6 Å³/atom
- M_tot: 0.000 μB/atom
- E: -9.563 eV per atom
- Formation energy: -0.084 eV/atom

a = 8.782 Å, b = 8.782 Å, c = 8.782 Å
α = 18.34°, β = 18.34°, γ = 18.34°
Fractional positions:
Ru1 0.499 0.499 0.499
Re1 0.250 0.250 0.250
Re2 0.999 0.999 0.999
Al1 0.752 0.752 0.752

***

This record from the Alexandria database describes TaAlReRu after structural relaxation. The functional is GGA-PBE.

Output
- V: 15.2 Å³/atom
- M_tot: 0.000 μB/atom
- E: -9.770 eV per atom
- Formation energy: -0.440 eV/atom

a = 4.413 Å, b = 4.413 Å, c = 4.413 Å
α = 60.00°, β = 60.00°, γ = 60.00°
Fractional positions:
Ru1 0.500 0.500 0.500
Re1 0.000 0.000 0.000
Al1 0.250 0.250 0.250
Ta1 0.750 0.750 0.750

***

This record from the Alexandria database describes AlReTcRu after structural relaxation. The functional is GGA-PBE.

Output
- V: 14.3 Å³/atom
- M_tot: 0.000 μB/atom
- E: -9.156 eV per atom
- Formation energy: -0.198 eV/atom

a = 4.326 Å, b = 4.326 Å, c = 4.326 Å
α = 60.00°, β = 60.00°, γ = 60.00°
Fractional positions:
Al1 0.500 0.500 0.500
Tc1 0.250 0.250 0.250
Ru1 0.750 0.750 0.750
Re1 0.000 0.000 0.000

***

This record from the Alexandria database describes TiAlReRu after structural relaxation. The functional is GGA-PBE.

Output
- V: 14.5 Å³/atom
- M_tot: 0.000 μB/atom
- E: -8.768 eV per atom
- Formation energy: -0.428 eV/atom

a = 4.344 Å, b = 4.344 Å, c = 4.344 Å
α = 60.00°, β = 60.00°, γ = 60.00°
Fractional positions:
Ru1 0.500 0.500 0.500
Re1 0.000 0.000 0.000
Al1 0.250 0.250 0.250
Ti1 0.750 0.750 0.750

***

This record from the Alexandria database describes Ti5Al2Re2Ru after structural relaxation. The functional is GGA-PBE.

Output
- V: 17.1 Å³/atom
- M_tot: 0.000 μB/atom
- E: -8.208 eV per atom
- Formation energy: -0.095 eV/atom

a = 3.175 Å, b = 10.382 Å, c = 10.382 Å
α = 90.00°, β = 90.00°, γ = 90.00°
Fractional positions:
Ti1 0.500 0.424 0.313
Ti2 0.500 0.076 0.813
Ti3 0.500 0.924 0.187
Ti4 0.500 0.313 0.576
Ti5 0.500 0.687 0.424
Ti6 0.500 0.187 0.076
Ti7 0.500 0.000 0.500
Ti8 0.500 0.500 0.000
Ti9 0.500 0.576 0.687
Ti10 0.500 0.813 0.924
Al1 0.000 0.330 0.830
Al2 0.000 0.670 0.170
Al3 0.000 0.830 0.670
Al4 0.000 0.170 0.330
Ru1 0.000 0.500 0.500
Ru2 0.000 0.000 0.000
Re1 0.000 0.136 0.636
Re2 0.000 0.864 0.364
Re3 0.000 0.636 0.864
Re4 0.000 0.364 0.136

***

This record from the Alexandria database describes TiAl2ReRu after structural relaxation. The functional is GGA-PBE.

Output
- V: 19.2 Å³/atom
- M_tot: 0.122 μB/atom
- E: -5.935 eV per atom
- Formation energy: 1.486 eV/atom

a = 4.707 Å, b = 4.337 Å, c = 4.707 Å
α = 90.00°, β = 90.00°, γ = 90.00°
Each line ends with the local moment (μB).
Fractional positions:
Re1 0.000 0.500 0.000  -0.14
Ru1 0.500 0.500 0.500  0.72
Ti1 0.000 0.000 0.000  0.03
Al1 0.000 0.000 0.500  0.00
Al2 0.500 0.000 0.000  0.00